1.
{"formula": "Rb2NbCrBr6", "functional": "GGA-PBE", "state": "relaxed", "lattice": [[0.000, 5.433, 5.433], [5.433, 0.000, 5.433], [5.433, 5.433, 0.000]], "species": ["Rb", "Rb", "Nb", "Cr", "Br", "Br", "Br", "Br", "Br", "Br"], "fractional_positions": [[0.250, 0.250, 0.250], [0.750, 0.750, 0.750], [0.000, 0.000, 0.000], [0.500, 0.500, 0.500], [0.249, 0.249, 0.751], [0.249, 0.751, 0.249], [0.249, 0.751, 0.751], [0.751, 0.249, 0.249], [0.751, 0.249, 0.751], [0.751, 0.751, 0.249]], "e_form_raw_ev_per_fu": -9.930, "m_tot_mub_per_fu": 7.0, "dft_energy_ev_per_atom": -4.160, "sg": "Fm-3m, No. 225"}


2.
{"formula": "NbCr2ReBr", "functional": "GGA-PBE", "state": "relaxed", "lattice": [[5.067, 0.000, 0.000], [0.000, 5.067, 0.000], [0.000, 0.000, 4.809]], "species": ["Nb", "Cr", "Cr", "Re", "Br"], "fractional_positions": [[0.000, 0.000, 0.000], [0.000, 0.500, 0.000], [0.500, 0.000, 0.000], [0.000, 0.000, 0.500], [0.500, 0.500, 0.500]], "e_form_raw_ev_per_fu": 9.437, "m_tot_mub_per_fu": 9.4, "dft_energy_ev_per_atom": -6.800, "sg": "P4/mmm, No. 123"}


3.
{"formula": "NbCrRe2Br", "functional": "GGA-PBE", "state": "relaxed", "lattice": [[4.525, 0.000, 0.000], [0.000, 4.525, 0.000], [0.000, 0.000, 4.728]], "species": ["Nb", "Cr", "Re", "Re", "Br"], "fractional_positions": [[0.000, 0.000, 0.000], [0.000, 0.000, 0.500], [0.000, 0.500, 0.500], [0.500, 0.000, 0.500], [0.500, 0.500, 0.000]], "e_form_raw_ev_per_fu": 8.451, "m_tot_mub_per_fu": 0.0, "dft_energy_ev_per_atom": -7.562, "sg": "P4/mmm, No. 123"}


4.
{"formula": "NbCr2SeBr", "functional": "GGA-PBE", "state": "relaxed", "lattice": [[5.178, 0.000, 0.000], [0.000, 5.178, 0.000], [0.000, 0.000, 4.829]], "species": ["Nb", "Cr", "Cr", "Se", "Br"], "fractional_positions": [[0.000, 0.000, 0.000], [0.000, 0.500, 0.000], [0.500, 0.000, 0.000], [0.000, 0.000, 0.500], [0.500, 0.500, 0.500]], "e_form_raw_ev_per_fu": 4.271, "m_tot_mub_per_fu": 6.8, "dft_energy_ev_per_atom": -6.041, "sg": "P4/mmm, No. 123"}